Record 1
Ba3RuN (PBEsol, optimized geometry); space-group type = Pm-3m (221); size of the total moment = 0.2315 μB/atom; raw total energy = -4.642 eV/atom; volume = 152.86 Å³/cell
1.0
5.347 0.000 0.000
0.000 5.347 0.000
0.000 0.000 5.347
Ba N Ru
3 1 1
Cartesian
0.000 0.000 2.673
2.673 0.000 0.000
0.000 2.673 0.000
0.000 0.000 0.000
2.673 2.673 2.673


Record 2
LaZn2W (PBEsol, optimized geometry); space-group type = Pmm2 (25); energy relative to the lowest polymorph listed for this composition = 0.54 eV per formula unit; E_form = 0.37 eV/atom; size of the total moment = 0.0001 μB/atom; volume = 75.26 Å³/cell
1.0
2.849 0.000 0.000
0.000 3.611 0.000
0.000 0.000 7.317
W Zn La
1 2 1
Cartesian
1.424 1.805 5.910
0.000 0.000 7.292
1.424 1.805 1.356
0.000 0.000 3.733


Record 3
BiHO2 (PBEsol, optimized geometry); space-group type = R-3m (166); size of the total moment = 0.0000 μB/atom; raw total energy = -5.604 eV/atom; volume = 54.47 Å³/cell
1.0
3.660 0.000 0.000
1.830 3.170 0.000
1.830 1.057 4.695
H Bi O
1 1 2
Cartesian
0.000 0.000 0.000
3.660 2.113 2.347
1.830 1.057 3.479
5.491 3.170 1.215


Record 4
Na2Co2O3 (PBEsol, optimized geometry); space-group type = P2_1/c (14); size of the total moment = 0.8572 μB/atom; raw total energy = -5.796 eV/atom; volume = 168.79 Å³/cell
1.0
5.660 0.000 0.000
0.000 5.568 0.027
0.000 -2.733 5.343
Co Na O
4 4 6
Cartesian
0.682 2.494 2.258
4.978 0.340 3.112
3.512 1.707 0.440
2.148 1.128 4.929
0.839 -1.636 4.807
1.991 -0.269 2.136
3.669 3.104 3.234
4.821 4.471 0.562
0.513 1.566 4.022
3.343 -0.098 4.019
5.146 1.269 1.347
2.830 0.000 0.000
2.316 2.933 1.351
0.000 -1.367 2.671